(1)
The following is a PBE calculation of an optimized crystal structure of DyU2Pt9, from the Alexandria database.

The total energy comes out at -7.652 eV/atom. As for the density of states at the Fermi level: 13.769 states/eV per cell. The formation energy is -0.856 eV per atom. The value obtained for the size of the total moment is 3.230 μB per formula unit.

CIF file:
```
data_DyU2Pt9
_symmetry_space_group_name_H-M 'P 4/m m m'
_symmetry_Int_Tables_number 123
_symmetry_space_group_name_Hall '-P 4 2'
_cell_length_a 4.146
_cell_length_b 4.146
_cell_length_c 12.420
_cell_angle_alpha 90.00
_cell_angle_beta 90.00
_cell_angle_gamma 90.00
loop_
_atom_site_label
_atom_site_type_symbol
_atom_site_fract_x
_atom_site_fract_y
_atom_site_fract_z
_atom_site_occupancy
Dy1 Dy 0.000 0.000 0.000 1
U1 U 0.000 0.000 0.331 1
Pt1 Pt 0.000 0.500 0.168 1
Pt2 Pt 0.000 0.500 0.500 1
Pt3 Pt 0.500 0.500 0.000 1
Pt4 Pt 0.500 0.500 0.333 1
```

---

(2)
The following is a PBE calculation of an optimized crystal structure of Fe3Co, from the Alexandria database.

The total energy comes out at -8.165 eV/atom. As for the density of states at the Fermi level: 8.431 states/eV per cell. The formation energy is -0.042 eV per atom. The value obtained for the size of the total moment is 9.325 μB per formula unit.

CIF file:
```
data_Fe3Co
_symmetry_space_group_name_H-M 'C m m m'
_symmetry_Int_Tables_number 65
_symmetry_space_group_name_Hall '-C 2 2'
_cell_length_a 5.703
_cell_length_b 11.383
_cell_length_c 2.848
_cell_angle_alpha 90.00
_cell_angle_beta 90.00
_cell_angle_gamma 90.00
loop_
_atom_site_label
_atom_site_type_symbol
_atom_site_fract_x
_atom_site_fract_y
_atom_site_fract_z
_atom_site_occupancy
Fe1 Fe 0.000 0.125 0.000 1
Fe2 Fe 0.248 0.500 0.500 1
Fe3 Fe 0.250 0.250 0.500 1
Co1 Co 0.000 0.375 0.000 1
```

---

(3)
The following is a PBE calculation of an optimized crystal structure of Ti2Ga2Hg, from the Alexandria database.

The total energy comes out at -4.547 eV/atom. As for the density of states at the Fermi level: 7.660 states/eV per cell. The formation energy is -0.118 eV per atom. The value obtained for the size of the total moment is 0.000 μB per formula unit. As for the relative energy among the computed polymorphs: 118 meV/atom.

CIF file:
```
data_Ti2Ga2Hg
_symmetry_space_group_name_H-M 'P 4/m b m'
_symmetry_Int_Tables_number 127
_symmetry_space_group_name_Hall '-P 4 2ab'
_cell_length_a 7.748
_cell_length_b 7.748
_cell_length_c 3.040
_cell_angle_alpha 90.00
_cell_angle_beta 90.00
_cell_angle_gamma 90.00
loop_
_atom_site_label
_atom_site_type_symbol
_atom_site_fract_x
_atom_site_fract_y
_atom_site_fract_z
_atom_site_occupancy
Ti1 Ti 0.122 0.378 0.000 1
Ga1 Ga 0.178 0.678 0.500 1
Hg1 Hg 0.000 0.000 0.000 1
```

---

(4)
The following is a PBE calculation of an optimized crystal structure of KSrLi2, from the Alexandria database.

The total energy comes out at -1.445 eV/atom. As for the density of states at the Fermi level: 5.567 states/eV per cell. The formation energy is 0.207 eV per atom. The value obtained for the size of the total moment is 0.000 μB per formula unit. As for the relative energy among the computed polymorphs: 101 meV/atom.

CIF file:
```
data_KSrLi2
_symmetry_space_group_name_H-M 'C 1 2/m 1'
_symmetry_Int_Tables_number 12
_cell_length_a 11.978
_cell_length_b 3.954
_cell_length_c 7.861
_cell_angle_alpha 90.00
_cell_angle_beta 100.60
_cell_angle_gamma 90.00
loop_
_symmetry_equiv_pos_as_xyz
'x,y,z'
'-x,-y,-z'
'-x,y,-z'
'x,-y,z'
'x+1/2,y+1/2,z'
'-x+1/2,-y+1/2,-z'
'-x+1/2,y+1/2,-z'
'x+1/2,-y+1/2,z'
loop_
_atom_site_label
_atom_site_type_symbol
_atom_site_fract_x
_atom_site_fract_y
_atom_site_fract_z
_atom_site_occupancy
K1 K 0.000 0.000 0.000 1
Sr1 Sr 0.000 0.500 0.500 1
Li1 Li 0.250 0.000 0.670 1
```

---

(5)
The following is a PBE calculation of an optimized crystal structure of Li2NbCoCu, from the Alexandria database.

The total energy comes out at -3.568 eV/atom. As for the density of states at the Fermi level: 6.941 states/eV per cell. The formation energy is 1.452 eV per atom. The value obtained for the size of the total moment is 1.438 μB per formula unit.

CIF file:
```
data_Li2NbCoCu
_symmetry_space_group_name_H-M 'P 4/m m m'
_symmetry_Int_Tables_number 123
_symmetry_space_group_name_Hall '-P 4 2'
_cell_length_a 4.993
_cell_length_b 4.993
_cell_length_c 4.292
_cell_angle_alpha 90.00
_cell_angle_beta 90.00
_cell_angle_gamma 90.00
loop_
_atom_site_label
_atom_site_type_symbol
_atom_site_fract_x
_atom_site_fract_y
_atom_site_fract_z
_atom_site_occupancy
Li1 Li 0.000 0.500 0.000 1
Nb1 Nb 0.000 0.000 0.000 1
Co1 Co 0.000 0.000 0.500 1
Cu1 Cu 0.500 0.500 0.500 1
```

---

(6)
The following is a PBE calculation of an optimized crystal structure of K2Cd15Sn2, from the Alexandria database.

The total energy comes out at -1.314 eV/atom. As for the density of states at the Fermi level: 23.211 states/eV per cell. The formation energy is -0.054 eV per atom. The value obtained for the size of the total moment is 0.000 μB per formula unit.

CIF file:
```
data_K2Cd15Sn2
_symmetry_space_group_name_H-M 'R -3 m'
_symmetry_Int_Tables_number 166
_symmetry_space_group_name_Hall '-R 3 2"'
_cell_length_a 10.6626
_cell_length_b 10.6626
_cell_length_c 14.8447
_cell_angle_alpha 90.00
_cell_angle_beta 90.00
_cell_angle_gamma 120.00
loop_
_atom_site_label
_atom_site_type_symbol
_atom_site_fract_x
_atom_site_fract_y
_atom_site_fract_z
_atom_site_occupancy
K1 K 0.0000 0.0000 0.1599 1
Cd1 Cd 0.0000 0.3055 0.5000 1
Cd2 Cd 0.0000 0.5000 0.0000 1
Cd3 Cd 0.0126 0.5063 0.6518 1
Sn1 Sn 0.0000 0.0000 0.3987 1
```

---

(7)
The following is a PBE calculation of an optimized crystal structure of LaCeSm2Bi5, from the Alexandria database.

The total energy comes out at -4.493 eV/atom. As for the density of states at the Fermi level: 8.233 states/eV per cell. The formation energy is -0.082 eV per atom. The value obtained for the size of the total moment is 0.000 μB per formula unit.

CIF file:
```
data_LaCeSm2Bi5
_symmetry_space_group_name_H-M 'P 4/m m m'
_symmetry_Int_Tables_number 123
_symmetry_space_group_name_Hall '-P 4 2'
_cell_length_a 5.550
_cell_length_b 5.550
_cell_length_c 12.148
_cell_angle_alpha 90.00
_cell_angle_beta 90.00
_cell_angle_gamma 90.00
loop_
_atom_site_label
_atom_site_type_symbol
_atom_site_fract_x
_atom_site_fract_y
_atom_site_fract_z
_atom_site_occupancy
La1 La 0.000 0.000 0.000 1
Ce1 Ce 0.000 0.000 0.500 1
Sm1 Sm 0.500 0.500 0.270 1
Bi1 Bi 0.000 0.000 0.250 1
Bi2 Bi 0.000 0.500 0.500 1
Bi3 Bi 0.500 0.500 0.000 1
```

---

(8)
The following is a PBE calculation of an optimized crystal structure of Ca5Zn2Ga, from the Alexandria database.

The total energy comes out at -2.211 eV/atom. As for the density of states at the Fermi level: 25.600 states/eV per cell. The formation energy is -0.263 eV per atom. The value obtained for the size of the total moment is 0.000 μB per formula unit.

CIF file:
```
data_Ca5Zn2Ga
_symmetry_space_group_name_H-M 'I 4/m c m'
_symmetry_Int_Tables_number 140
_symmetry_space_group_name_Hall '-I 4 2c'
_cell_length_a 7.712
_cell_length_b 7.712
_cell_length_c 15.823
_cell_angle_alpha 90.00
_cell_angle_beta 90.00
_cell_angle_gamma 90.00
loop_
_atom_site_label
_atom_site_type_symbol
_atom_site_fract_x
_atom_site_fract_y
_atom_site_fract_z
_atom_site_occupancy
Ca1 Ca 0.000 0.000 0.000 1
Ca2 Ca 0.177 0.323 0.150 1
Zn1 Zn 0.114 0.386 0.500 1
Ga1 Ga 0.000 0.000 0.250 1
```